Run i
VASP calculation (GGA-PBE) on CsPmPa after structural relaxation.

Cell lengths 7.624, 7.624, 7.624 Å; angles 90.00, 90.00, 90.00 degrees
Atoms (fractional coordinates):
Cs: 0.000 0.000 0.000
Cs: 0.000 0.500 0.500
Cs: 0.500 0.000 0.500
Cs: 0.500 0.500 0.000
Pm: 0.250 0.250 0.250
Pm: 0.250 0.750 0.750
Pm: 0.750 0.250 0.750
Pm: 0.750 0.750 0.250
Pa: 0.250 0.250 0.750
Pa: 0.250 0.750 0.250
Pa: 0.750 0.250 0.250
Pa: 0.750 0.750 0.750

Computed properties:
- space-group type = F-43m, No. 216
- M_tot (μB/cell) = 5.66

=====

Run ii
VASP calculation (GGA-PBE) on CsPmPa after structural relaxation.

Cell lengths 8.160, 8.160, 8.160 Å; angles 90.00, 90.00, 90.00 degrees
Atoms (fractional coordinates):
Cs: 0.000 0.000 0.000
Cs: 0.000 0.500 0.500
Cs: 0.500 0.000 0.500
Cs: 0.500 0.500 0.000
Pm: 0.250 0.250 0.250
Pm: 0.250 0.750 0.750
Pm: 0.750 0.250 0.750
Pm: 0.750 0.750 0.250
Pa: 0.000 0.000 0.500
Pa: 0.000 0.500 0.000
Pa: 0.500 0.000 0.000
Pa: 0.500 0.500 0.500

Computed properties:
- space-group type = F-43m, No. 216
- M_tot (μB/cell) = 16.51

=====

Least stable of them? run i.

=====

Run i
VASP calculation (GGA-PBE) on CsPrPa after structural relaxation.

Cell lengths 7.670, 7.670, 7.670 Å; angles 90.00, 90.00, 90.00 degrees
Atoms (fractional coordinates):
Cs: 0.000 0.000 0.000
Cs: 0.000 0.500 0.500
Cs: 0.500 0.000 0.500
Cs: 0.500 0.500 0.000
Pr: 0.250 0.250 0.250
Pr: 0.250 0.750 0.750
Pr: 0.750 0.250 0.750
Pr: 0.750 0.750 0.250
Pa: 0.250 0.250 0.750
Pa: 0.250 0.750 0.250
Pa: 0.750 0.250 0.250
Pa: 0.750 0.750 0.750

Computed properties:
- space-group type = F-43m, No. 216
- M_tot (μB/cell) = 5.87

=====

Run ii
VASP calculation (GGA-PBE) on CsPrPa after structural relaxation.

Cell lengths 8.116, 8.116, 8.116 Å; angles 90.00, 90.00, 90.00 degrees
Atoms (fractional coordinates):
Cs: 0.000 0.000 0.000
Cs: 0.000 0.500 0.500
Cs: 0.500 0.000 0.500
Cs: 0.500 0.500 0.000
Pr: 0.250 0.250 0.250
Pr: 0.250 0.750 0.750
Pr: 0.750 0.250 0.750
Pr: 0.750 0.750 0.250
Pa: 0.000 0.000 0.500
Pa: 0.000 0.500 0.000
Pa: 0.500 0.000 0.000
Pa: 0.500 0.500 0.500

Computed properties:
- space-group type = F-43m, No. 216
- M_tot (μB/cell) = 13.93

=====

Least stable of them? run i.

=====

Run i
VASP calculation (GGA-PBE) on CsPaSn after structural relaxation.

Cell lengths 7.545, 7.545, 7.545 Å; angles 90.00, 90.00, 90.00 degrees
Atoms (fractional coordinates):
Cs: 0.000 0.000 0.000
Cs: 0.000 0.500 0.500
Cs: 0.500 0.000 0.500
Cs: 0.500 0.500 0.000
Pa: 0.250 0.250 0.750
Pa: 0.250 0.750 0.250
Pa: 0.750 0.250 0.250
Pa: 0.750 0.750 0.750
Sn: 0.250 0.250 0.250
Sn: 0.250 0.750 0.750
Sn: 0.750 0.250 0.750
Sn: 0.750 0.750 0.250

Computed properties:
- space-group type = F-43m, No. 216
- M_tot (μB/cell) = 7.91

=====

Run ii
VASP calculation (GGA-PBE) on CsPaSn after structural relaxation.

Cell lengths 7.700, 7.700, 7.700 Å; angles 90.00, 90.00, 90.00 degrees
Atoms (fractional coordinates):
Cs: 0.000 0.000 0.000
Cs: 0.000 0.500 0.500
Cs: 0.500 0.000 0.500
Cs: 0.500 0.500 0.000
Pa: 0.250 0.250 0.250
Pa: 0.250 0.750 0.750
Pa: 0.750 0.250 0.750
Pa: 0.750 0.750 0.250
Sn: 0.000 0.000 0.500
Sn: 0.000 0.500 0.000
Sn: 0.500 0.000 0.000
Sn: 0.500 0.500 0.500

Computed properties:
- space-group type = F-43m, No. 216
- M_tot (μB/cell) = 7.77

=====

Least stable of them? run i.

=====

Run i
VASP calculation (GGA-PBE) on CsPaTc after structural relaxation.

Cell lengths 6.919, 6.919, 6.919 Å; angles 90.00, 90.00, 90.00 degrees
Atoms (fractional coordinates):
Cs: 0.000 0.000 0.000
Cs: 0.000 0.500 0.500
Cs: 0.500 0.000 0.500
Cs: 0.500 0.500 0.000
Pa: 0.250 0.250 0.250
Pa: 0.250 0.750 0.750
Pa: 0.750 0.250 0.750
Pa: 0.750 0.750 0.250
Tc: 0.000 0.000 0.500
Tc: 0.000 0.500 0.000
Tc: 0.500 0.000 0.000
Tc: 0.500 0.500 0.500

Computed properties:
- space-group type = F-43m, No. 216
- M_tot (μB/cell) = 0.76

=====

Run ii
VASP calculation (GGA-PBE) on CsPaTc after structural relaxation.

Cell lengths 6.782, 6.782, 6.782 Å; angles 90.00, 90.00, 90.00 degrees
Atoms (fractional coordinates):
Cs: 0.000 0.000 0.000
Cs: 0.000 0.500 0.500
Cs: 0.500 0.000 0.500
Cs: 0.500 0.500 0.000
Pa: 0.250 0.250 0.750
Pa: 0.250 0.750 0.250
Pa: 0.750 0.250 0.250
Pa: 0.750 0.750 0.750
Tc: 0.250 0.250 0.250
Tc: 0.250 0.750 0.750
Tc: 0.750 0.250 0.750
Tc: 0.750 0.750 0.250

Computed properties:
- space-group type = F-43m, No. 216
- M_tot (μB/cell) = 0.02

=====

Least stable of them? run ii.

=====

Run i
VASP calculation (GGA-PBE) on CsPaTl after structural relaxation.

Cell lengths 7.520, 7.520, 7.520 Å; angles 90.00, 90.00, 90.00 degrees
Atoms (fractional coordinates):
Cs: 0.000 0.000 0.000
Cs: 0.000 0.500 0.500
Cs: 0.500 0.000 0.500
Cs: 0.500 0.500 0.000
Pa: 0.250 0.250 0.250
Pa: 0.250 0.750 0.750
Pa: 0.750 0.250 0.750
Pa: 0.750 0.750 0.250
Tl: 0.250 0.250 0.750
Tl: 0.250 0.750 0.250
Tl: 0.750 0.250 0.250
Tl: 0.750 0.750 0.750

Computed properties:
- space-group type = F-43m, No. 216
- M_tot (μB/cell) = 4.48

=====

Run ii
VASP calculation (GGA-PBE) on CsPaTl after structural relaxation.

Cell lengths 8.030, 8.030, 8.030 Å; angles 90.00, 90.00, 90.00 degrees
Atoms (fractional coordinates):
Cs: 0.000 0.000 0.000
Cs: 0.000 0.500 0.500
Cs: 0.500 0.000 0.500
Cs: 0.500 0.500 0.000
Pa: 0.000 0.000 0.500
Pa: 0.000 0.500 0.000
Pa: 0.500 0.000 0.000
Pa: 0.500 0.500 0.500
Tl: 0.250 0.250 0.250
Tl: 0.250 0.750 0.750
Tl: 0.750 0.250 0.750
Tl: 0.750 0.750 0.250

Computed properties:
- space-group type = F-43m, No. 216
- M_tot (μB/cell) = 7.16

=====

Least stable of them? run i.

=====

Run i
VASP calculation (GGA-PBE) on CsZrPa after structural relaxation.

Cell lengths 7.539, 7.539, 7.539 Å; angles 90.00, 90.00, 90.00 degrees
Atoms (fractional coordinates):
Cs: 0.000 0.000 0.000
Cs: 0.000 0.500 0.500
Cs: 0.500 0.000 0.500
Cs: 0.500 0.500 0.000
Zr: 0.000 0.000 0.500
Zr: 0.000 0.500 0.000
Zr: 0.500 0.000 0.000
Zr: 0.500 0.500 0.500
Pa: 0.250 0.250 0.250
Pa: 0.250 0.750 0.750
Pa: 0.750 0.250 0.750
Pa: 0.750 0.750 0.250

Computed properties:
- space-group type = F-43m, No. 216
- M_tot (μB/cell) = 16.08

=====

Run ii
VASP calculation (GGA-PBE) on CsZrPa after structural relaxation.

Cell lengths 7.177, 7.177, 7.177 Å; angles 90.00, 90.00, 90.00 degrees
Atoms (fractional coordinates):
Cs: 0.000 0.000 0.000
Cs: 0.000 0.500 0.500
Cs: 0.500 0.000 0.500
Cs: 0.500 0.500 0.000
Zr: 0.250 0.250 0.750
Zr: 0.250 0.750 0.250
Zr: 0.750 0.250 0.250
Zr: 0.750 0.750 0.750
Pa: 0.250 0.250 0.250
Pa: 0.250 0.750 0.750
Pa: 0.750 0.250 0.750
Pa: 0.750 0.750 0.250

Computed properties:
- space-group type = F-43m, No. 216
- M_tot (μB/cell) = 7.14

=====

Least stable of them? run ii.

=====

Run i
VASP calculation (GGA-PBE) on CsPrPbS3 after structural relaxation.

Cell lengths 16.181, 4.227, 12.503 Å; angles 90.00, 90.00, 90.00 degrees
Atoms (fractional coordinates):
Cs: 0.237 0.250 0.097
Cs: 0.263 0.750 0.597
Cs: 0.737 0.250 0.403
Cs: 0.763 0.750 0.903
Pr: 0.002 0.250 0.357
Pr: 0.498 0.750 0.857
Pr: 0.502 0.250 0.143
Pr: 0.998 0.750 0.643
Pb: 0.044 0.250 0.901
Pb: 0.456 0.750 0.401
Pb: 0.544 0.250 0.599
Pb: 0.956 0.750 0.099
S: 0.083 0.750 0.233
S: 0.092 0.250 0.549
S: 0.125 0.750 0.813
S: 0.375 0.250 0.313
S: 0.408 0.750 0.049
S: 0.417 0.250 0.733
S: 0.583 0.750 0.267
S: 0.592 0.250 0.951
S: 0.625 0.750 0.687
S: 0.875 0.250 0.187
S: 0.908 0.750 0.451
S: 0.917 0.250 0.767

Computed properties:
- space-group type = Pnma, No. 62
- M_tot (μB/cell) = 0.00

=====

Run ii
VASP calculation (GGA-PBE) on CsPrPbS3 after structural relaxation.

Cell lengths 9.093, 9.093, 11.891 Å; angles 90.00, 90.00, 153.19 degrees
Atoms (fractional coordinates):
Cs: 0.175 0.825 0.750
Cs: 0.825 0.175 0.250
Pr: 0.500 0.500 0.000
Pr: 0.500 0.500 0.500
Pb: 0.102 0.898 0.250
Pb: 0.898 0.102 0.750
S: 0.107 0.893 0.010
S: 0.107 0.893 0.490
S: 0.500 0.500 0.250
S: 0.500 0.500 0.750
S: 0.893 0.107 0.510
S: 0.893 0.107 0.990

Computed properties:
- space-group type = Cmcm, No. 63
- M_tot (μB/cell) = 0.02

=====

Least stable of them? run ii.

=====

Run i
VASP calculation (GGA-PBE) on CsPbW after structural relaxation.

Cell lengths 7.472, 7.472, 7.472 Å; angles 90.00, 90.00, 90.00 degrees
Atoms (fractional coordinates):
Cs: 0.000 0.000 0.000
Cs: 0.000 0.500 0.500
Cs: 0.500 0.000 0.500
Cs: 0.500 0.500 0.000
Pb: 0.000 0.000 0.500
Pb: 0.000 0.500 0.000
Pb: 0.500 0.000 0.000
Pb: 0.500 0.500 0.500
W: 0.250 0.250 0.250
W: 0.250 0.750 0.750
W: 0.750 0.250 0.750
W: 0.750 0.750 0.250

Computed properties:
- space-group type = F-43m, No. 216
- M_tot (μB/cell) = 11.85

=====

Run ii
VASP calculation (GGA-PBE) on CsPbW after structural relaxation.

Cell lengths 7.869, 7.869, 7.869 Å; angles 90.00, 90.00, 90.00 degrees
Atoms (fractional coordinates):
Cs: 0.000 0.000 0.000
Cs: 0.000 0.500 0.500
Cs: 0.500 0.000 0.500
Cs: 0.500 0.500 0.000
Pb: 0.250 0.250 0.750
Pb: 0.250 0.750 0.250
Pb: 0.750 0.250 0.250
Pb: 0.750 0.750 0.750
W: 0.250 0.250 0.250
W: 0.250 0.750 0.750
W: 0.750 0.250 0.750
W: 0.750 0.750 0.250

Computed properties:
- space-group type = F-43m, No. 216
- M_tot (μB/cell) = 13.00

=====

Least stable of them? run ii.